Density functional theory data (PBE) for a relaxed Er2Lu5Te2Pd2 crystal.

a b c (Å): 9.257 9.257 9.257
angles (deg): 155.75 67.53 118.06
Positions (direct):
Er 0.690 0.373 0.317
Er 0.056 0.373 0.683
Lu 0.000 0.000 0.000
Lu 0.713 0.582 0.131
Lu 0.089 0.733 0.357
Lu 0.376 0.733 0.643
Lu 0.452 0.582 0.869
Pd 0.307 0.070 0.237
Pd 0.833 0.070 0.763
Te 0.339 0.339 0.000
Te 0.732 0.232 0.500

Calculated values
Distance to the lowest polymorph of the same formula in meV/atom: 12



Density functional theory data (PBE) for a relaxed Er2Lu5Te2Pd2 crystal.

a b c (Å): 9.249 9.249 9.249
angles (deg): 155.65 67.54 118.10
Positions (direct):
Er 0.622 0.266 0.356
Er 0.910 0.266 0.644
Lu 0.001 0.001 0.000
Lu 0.548 0.417 0.131
Lu 0.944 0.627 0.317
Lu 0.310 0.627 0.683
Lu 0.286 0.417 0.869
Pd 0.169 0.933 0.237
Pd 0.696 0.933 0.763
Te 0.661 0.661 0.000
Te 0.267 0.767 0.500

Calculated values
Distance to the lowest polymorph of the same formula in meV/atom: 0



Density functional theory data (PBE) for a relaxed Er6LuTe2Pd2 crystal.

a b c (Å): 9.332 9.332 9.332
angles (deg): 155.81 67.41 118.16
Positions (direct):
Er 0.712 0.582 0.130
Er 0.691 0.374 0.318
Er 0.090 0.733 0.357
Er 0.376 0.733 0.643
Er 0.056 0.374 0.682
Er 0.452 0.582 0.870
Lu 0.999 0.999 0.000
Pd 0.305 0.069 0.236
Pd 0.833 0.069 0.764
Te 0.338 0.338 0.000
Te 0.734 0.234 0.500

Calculated values
Electronic total energy in eV per cell: -57.77



| no. | magnetization (μB per formula unit) |
| --- | --- |
| 1 | 0.01 |
| 2 | 0.03 |
| 3 | 0.01 |